{
  "formula": "Ta2Nb4Ni3C3",
  "functional": "PBE",
  "state": "optimized geometry",
  "lattice_angstrom": [[4.6898, -2.6993, 0.0000], [4.6898, 2.6993, 0.0000], [-3.1007, 0.0000, 12.9459]],
  "species": ["Ta", "Ta", "Ta", "Ta", "Nb", "Nb", "Nb", "Nb", "Nb", "Nb", "Nb", "Nb", "Ni", "Ni", "Ni", "Ni", "Ni", "Ni", "C", "C", "C", "C", "C", "C"],
  "frac_coords": [[0.0314, 0.8612, 0.5933], [0.1388, 0.9686, 0.9067], [0.8612, 0.0314, 0.0933], [0.9686, 0.1388, 0.4067], [0.1983, 0.3679, 0.0987], [0.3027, 0.4657, 0.4013], [0.3679, 0.1983, 0.5987], [0.4657, 0.3027, 0.9013], [0.5343, 0.6973, 0.0987], [0.6321, 0.8017, 0.4013], [0.6973, 0.5343, 0.5987], [0.8017, 0.6321, 0.9013], [0.0846, 0.2225, 0.7503], [0.2225, 0.0846, 0.2503], [0.3953, 0.6047, 0.7500], [0.6047, 0.3953, 0.2500], [0.7775, 0.9154, 0.7497], [0.9154, 0.7775, 0.2497], [0.0000, 0.5000, 0.5000], [0.1664, 0.6678, 0.0002], [0.3322, 0.8336, 0.4998], [0.5000, 0.0000, 0.0000], [0.6678, 0.1664, 0.5002], [0.8336, 0.3322, 0.9998]],
  "total_energy_ev_per_cell": -223.9,
  "m_tot_mub_per_cell": 0.005
}


{
  "formula": "Ho3Er2Hg3",
  "functional": "PBE",
  "state": "optimized geometry",
  "lattice_angstrom": [[5.5387, 0.0000, 0.0000], [0.0000, 3.5668, 5.4143], [0.0000, -3.5668, 5.4143]],
  "species": ["Ho", "Ho", "Ho", "Er", "Er", "Hg", "Hg", "Hg"],
  "frac_coords": [[0.0000, 0.0000, 0.0000], [0.5000, 0.3165, 0.8270], [0.5000, 0.8270, 0.3165], [0.0000, 0.4522, 0.4522], [0.5000, 0.8173, 0.8173], [0.0000, 0.5098, 0.9394], [0.0000, 0.9394, 0.5098], [0.5000, 0.3199, 0.3199]],
  "m_tot_mub_per_cell": 0.076,
  "ef_ev_per_atom": -0.173
}


{
  "formula": "Er3Tm4Ni2Te2",
  "functional": "PBE",
  "state": "optimized geometry",
  "lattice_angstrom": [[-1.9130, 7.7307, 4.7447], [1.9130, -7.7307, 4.7447], [1.9130, 7.7307, -4.7447]],
  "species": ["Er", "Er", "Er", "Tm", "Tm", "Tm", "Tm", "Ni", "Ni", "Te", "Te"],
  "frac_coords": [[0.0000, 0.0000, 0.0000], [0.0642, 0.3788, 0.6854], [0.6935, 0.3788, 0.3146], [0.0834, 0.7299, 0.3535], [0.3765, 0.7299, 0.6465], [0.4493, 0.5827, 0.8667], [0.7160, 0.5827, 0.1333], [0.3095, 0.0720, 0.2376], [0.8344, 0.0720, 0.7624], [0.3374, 0.3374, 0.0000], [0.7346, 0.2346, 0.5000]],
  "total_energy_ev_per_cell": -56.5,
  "m_tot_mub_per_cell": 0.007
}


{
  "formula": "Nb4Co3W2C3",
  "functional": "PBE",
  "state": "optimized geometry",
  "lattice_angstrom": [[4.6239, -2.6683, 0.0000], [4.6239, 2.6683, 0.0000], [-3.1108, 0.0000, 12.6931]],
  "species": ["Nb", "Nb", "Nb", "Nb", "Nb", "Nb", "Nb", "Nb", "Co", "Co", "Co", "Co", "Co", "Co", "W", "W", "W", "W", "C", "C", "C", "C", "C", "C"],
  "frac_coords": [[0.0381, 0.1982, 0.1045], [0.1274, 0.2994, 0.3957], [0.1982, 0.0381, 0.6045], [0.2994, 0.1274, 0.8957], [0.7006, 0.8726, 0.1043], [0.8018, 0.9619, 0.3955], [0.8726, 0.7006, 0.6043], [0.9619, 0.8018, 0.8955], [0.1284, 0.8716, 0.2500], [0.2945, 0.4157, 0.7505], [0.4157, 0.2945, 0.2505], [0.5843, 0.7055, 0.7495], [0.7055, 0.5843, 0.2495], [0.8716, 0.1284, 0.7500], [0.3581, 0.5293, 0.0870], [0.4707, 0.6419, 0.4130], [0.5293, 0.3581, 0.5870], [0.6419, 0.4707, 0.9130], [0.0000, 0.5000, 0.0000], [0.1637, 0.6683, 0.5000], [0.3317, 0.8363, 0.0000], [0.5000, 0.0000, 0.5000], [0.6683, 0.1637, 0.0000], [0.8363, 0.3317, 0.5000]],
  "total_energy_ev_per_cell": -232.7,
  "m_tot_mub_per_cell": 2.064
}


{
  "formula": "Nb2Cl",
  "functional": "PBE",
  "state": "optimized geometry",
  "lattice_angstrom": [[0.0000, 3.9298, 3.9298], [3.9298, 0.0000, 3.9298], [3.9298, 3.9298, 0.0000]],
  "species": ["Nb", "Nb", "Nb", "Nb", "Cl", "Cl"],
  "frac_coords": [[0.0000, 0.0000, 0.0000], [0.0000, 0.0000, 0.5000], [0.0000, 0.5000, 0.0000], [0.5000, 0.0000, 0.0000], [0.3750, 0.3750, 0.3750], [0.6250, 0.6250, 0.6250]],
  "total_energy_ev_per_cell": -38.6,
  "m_tot_mub_per_cell": 0.039
}


{
  "formula": "K3TbP2",
  "functional": "PBE",
  "state": "optimized geometry",
  "lattice_angstrom": [[-3.9159, 7.5096, 3.5801], [3.9159, -7.5096, 3.5801], [3.9159, 7.5096, -3.5801]],
  "species": ["K", "K", "K", "K", "K", "K", "Tb", "Tb", "P", "P", "P", "P"],
  "frac_coords": [[0.1954, 0.7007, 0.8961], [0.2500, 0.2500, 0.0000], [0.3046, 0.2007, 0.5053], [0.6954, 0.7993, 0.4947], [0.7500, 0.7500, 0.0000], [0.8046, 0.2993, 0.1039], [0.2500, 0.7500, 0.5000], [0.7500, 0.2500, 0.5000], [0.0980, 0.3074, 0.4054], [0.4020, 0.8074, 0.2094], [0.5980, 0.1926, 0.7906], [0.9020, 0.6926, 0.5946]],
  "total_energy_ev_per_cell": -45.3,
  "m_tot_mub_per_cell": 0.000
}


{
  "formula": "UTcNi",
  "functional": "PBE",
  "state": "optimized geometry",
  "lattice_angstrom": [[0.0000, 3.0299, 3.0299], [3.0299, 0.0000, 3.0299], [3.0299, 3.0299, 0.0000]],
  "species": ["U", "Tc", "Ni"],
  "frac_coords": [[0.0000, 0.0000, 0.0000], [0.2500, 0.2500, 0.2500], [0.7500, 0.7500, 0.7500]],
  "m_tot_mub_per_cell": 0.796,
  "ef_ev_per_atom": 0.465
}


{
  "formula": "TbInCoSe3",
  "functional": "PBE",
  "state": "optimized geometry",
  "lattice_angstrom": [[1.9821, -7.2078, 0.0000], [1.9821, 7.2078, 0.0000], [0.0000, 0.0000, 10.6667]],
  "species": ["Tb", "Tb", "In", "In", "Co", "Co", "Se", "Se", "Se", "Se", "Se", "Se"],
  "frac_coords": [[0.0000, 0.0000, 0.0000], [0.0000, 0.0000, 0.5000], [0.2454, 0.7546, 0.7500], [0.7546, 0.2454, 0.2500], [0.4755, 0.5245, 0.2500], [0.5245, 0.4755, 0.7500], [0.0744, 0.9256, 0.2500], [0.3687, 0.6313, 0.0771], [0.3687, 0.6313, 0.4229], [0.6313, 0.3687, 0.5771], [0.6313, 0.3687, 0.9229], [0.9256, 0.0744, 0.7500]],
  "total_energy_ev_per_cell": -60.0,
  "m_tot_mub_per_cell": 4.872
}